[1]
This record from the Alexandria database describes a geometry-optimized Ag2HgSe structure. The functional is PBE.

Properties
E_form (uncorrected) = 0.47 eV per formula unit
Polymorph energy (0 for the lowest one) = 0.120 eV/atom
Total energy = -2.254 eV per atom

Unit cell a=9.0723 b=9.0723 c=9.0723 alpha=20.81 beta=20.81 gamma=20.81
Positions (direct):
Ag  0.2459  0.2459  0.2459
Ag  0.7541  0.7541  0.7541
Hg  0.0000  0.0000  0.0000
Se  0.5000  0.5000  0.5000



[2]
This record from the Alexandria database describes a geometry-optimized ZrTiIrPt structure. The functional is PBE.

Properties
Formation energy from the elements = -0.770 eV per atom
Total energy = -8.606 eV per atom

Unit cell a=4.5976 b=4.5976 c=4.5976 alpha=60.00 beta=60.00 gamma=60.00
Positions (direct):
Zr  0.0000  0.0000  0.0000
Ti  0.5000  0.5000  0.5000
Ir  0.7500  0.7500  0.7500
Pt  0.2500  0.2500  0.2500



[3]
This record from the Alexandria database describes a geometry-optimized MnNb2AlH structure. The functional is PBE.

Properties
Total energy = -7.448 eV per atom

Unit cell a=4.1415 b=4.1415 c=3.8596 alpha=90.00 beta=90.00 gamma=90.00
Positions (direct):
Mn  0.0000  0.0000  0.0000
Nb  0.0000  0.5000  0.5000
Nb  0.5000  0.0000  0.5000
Al  0.5000  0.5000  0.0000
H  0.0000  0.0000  0.5000



[4]
This record from the Alexandria database describes a geometry-optimized ZrNbSbTe2 structure. The functional is PBE.

Properties
E_form (uncorrected) = 2.68 eV per formula unit
Polymorph energy (0 for the lowest one) = 0.000 eV/atom
Total energy = -5.269 eV per atom

Unit cell a=5.3679 b=5.3679 c=5.3512 alpha=90.00 beta=90.00 gamma=90.00
Positions (direct):
Zr  0.0000  0.0000  0.0000
Nb  0.5000  0.5000  0.5000
Sb  0.5000  0.5000  0.0000
Te  0.0000  0.5000  0.5000
Te  0.5000  0.0000  0.5000



[5]
This record from the Alexandria database describes a geometry-optimized Sm2Zn3CdPd4 structure. The functional is PBE.

Properties
Formation energy from the elements = -0.583 eV per atom
Total energy = -4.078 eV per atom

Unit cell a=4.1216 b=4.1216 c=11.5152 alpha=90.00 beta=90.00 gamma=90.00
Positions (direct):
Sm  0.0000  0.5000  0.2405
Sm  0.5000  0.0000  0.7595
Zn  0.0000  0.5000  0.8719
Zn  0.5000  0.0000  0.1281
Zn  0.5000  0.5000  0.5000
Cd  0.0000  0.0000  0.5000
Pd  0.0000  0.0000  0.0000
Pd  0.0000  0.5000  0.6558
Pd  0.5000  0.0000  0.3442
Pd  0.5000  0.5000  0.0000



[6]
This record from the Alexandria database describes a geometry-optimized Hf8Pd3Rh2 structure. The functional is PBE.

Properties
Formation energy from the elements = -0.377 eV per atom
Total energy = -8.832 eV per atom

Unit cell a=8.0333 b=8.0333 c=5.4156 alpha=94.37 beta=94.37 gamma=48.80
Positions (direct):
Hf  0.0531  0.0531  0.2565
Hf  0.0879  0.6182  0.1689
Hf  0.3329  0.3329  0.6770
Hf  0.3818  0.9121  0.8311
Hf  0.6182  0.0879  0.1689
Hf  0.6671  0.6671  0.3230
Hf  0.9121  0.3818  0.8311
Hf  0.9469  0.9469  0.7435
Pd  0.3116  0.6884  0.5000
Pd  0.5000  0.5000  0.0000
Pd  0.6884  0.3116  0.5000
Rh  0.2277  0.2277  0.2433
Rh  0.7723  0.7723  0.7567